Material: Y2AsSe
Method: DFT, GGA-PBEsol
State: optimized geometry

Lattice parameters (Å, degrees): 4.044 4.044 5.702 90.00 90.00 90.00
Fractional coordinates of all 4 atoms:
1 Y 0.000 0.000 0.000
2 Y 0.500 0.500 0.500
3 As 0.000 0.000 0.500
4 Se 0.500 0.500 0.000

## Properties
- space group = P4/mmm (123)
- size of the total moment (μB per cell) = 0.000
- D(E_F) (states/eV/f.u.) = 1.32
- raw formation energy (eV/atom) = -1.7797
- excess energy over the best structure of this formula in the dataset (meV per atom) = 6


Material: Ba2SrCu2
Method: DFT, GGA-PBEsol
State: optimized geometry

Lattice parameters (Å, degrees): 8.388 8.388 4.697 90.00 90.00 90.00
Fractional coordinates of all 10 atoms:
1 Ba 0.169 0.331 0.000
2 Ba 0.331 0.831 0.000
3 Ba 0.669 0.169 0.000
4 Ba 0.831 0.669 0.000
5 Sr 0.000 0.000 0.500
6 Sr 0.500 0.500 0.500
7 Cu 0.106 0.606 0.500
8 Cu 0.394 0.106 0.500
9 Cu 0.606 0.894 0.500
10 Cu 0.894 0.394 0.500

## Properties
- space group = P4/mbm (127)
- size of the total moment (μB per cell) = 0.000
- D(E_F) (states/eV/f.u.) = 2.80
- E_form (eV/atom) = 0.05
- excess energy over the best structure of this formula in the dataset (meV per atom) = 0


Material: ZrTeAs
Method: DFT, GGA-PBEsol
State: optimized geometry

Lattice parameters (Å, degrees): 4.651 4.651 3.546 90.00 90.00 120.00
Fractional coordinates of all 3 atoms:
1 Zr 0.000 0.000 0.000
2 Te 0.333 0.667 0.500
3 As 0.667 0.333 0.000

## Properties
- space group = P-6m2 (187)
- size of the total moment (μB per cell) = 0.000
- D(E_F) (states/eV/f.u.) = 2.83
- raw formation energy (eV/atom) = -0.4700


Material: CsRbC3
Method: DFT, GGA-PBEsol
State: optimized geometry

Lattice parameters (Å, degrees): 5.691 5.691 5.691 90.00 90.00 90.00
Fractional coordinates of all 5 atoms:
1 Cs 0.000 0.000 0.000
2 Rb 0.500 0.500 0.500
3 C 0.000 0.000 0.500
4 C 0.000 0.500 0.000
5 C 0.500 0.000 0.000

## Properties
- space group = Pm-3m (221)
- size of the total moment (μB per cell) = 8.003
- D(E_F) (states/eV/f.u.) = 1.75
- E_form (eV/atom) = 3.54
- excess energy over the best structure of this formula in the dataset (meV per atom) = 34


Material: RbTiMnBe2
Method: DFT, GGA-PBEsol
State: optimized geometry

Lattice parameters (Å, degrees): 5.005 5.005 4.465 90.00 90.00 90.00
Fractional coordinates of all 5 atoms:
1 Rb 0.000 0.000 0.000
2 Ti 0.500 0.500 0.500
3 Mn 0.500 0.500 0.000
4 Be 0.000 0.500 0.500
5 Be 0.500 0.000 0.500

## Properties
- space group = P4/mmm (123)
- size of the total moment (μB per cell) = 0.964
- D(E_F) (states/eV/f.u.) = 4.62
- E_form (eV/atom) = 1.34


Material: InAu2Se
Method: DFT, GGA-PBEsol
State: optimized geometry

Lattice parameters (Å, degrees): 6.247 4.822 5.882 90.00 115.48 90.00
Fractional coordinates of all 8 atoms:
1 In 0.000 0.000 0.000
2 In 0.500 0.500 0.000
3 Au 0.004 0.500 0.250
4 Au 0.496 0.000 0.750
5 Au 0.504 0.000 0.250
6 Au 0.996 0.500 0.750
7 Se 0.000 0.000 0.500
8 Se 0.500 0.500 0.500

## Properties
- space group = C2/m (12)
- size of the total moment (μB per cell) = 0.000
- D(E_F) (states/eV/f.u.) = 1.17
- raw formation energy (eV/atom) = -0.0436
- excess energy over the best structure of this formula in the dataset (meV per atom) = 0


Material: La2ScCr
Method: DFT, GGA-PBEsol
State: optimized geometry

Lattice parameters (Å, degrees): 6.375 10.699 3.318 90.00 114.20 90.00
Fractional coordinates of all 8 atoms:
1 La 0.250 0.250 0.000
2 La 0.250 0.750 0.000
3 La 0.750 0.250 0.000
4 La 0.750 0.750 0.000
5 Sc 0.000 0.000 0.500
6 Sc 0.500 0.500 0.500
7 Cr 0.000 0.500 0.500
8 Cr 0.500 0.000 0.500

## Properties
- space group = C2/m (12)
- size of the total moment (μB per cell) = 7.106
- D(E_F) (states/eV/f.u.) = 6.05
- E_form (eV/atom) = 0.52
- excess energy over the best structure of this formula in the dataset (meV per atom) = 202


Material: SiGeOs2
Method: DFT, GGA-PBEsol
State: optimized geometry

Lattice parameters (Å, degrees): 5.967 5.967 5.967 90.00 90.00 90.00
Fractional coordinates of all 16 atoms:
1 Si 0.000 0.000 0.000
2 Si 0.000 0.500 0.500
3 Si 0.500 0.000 0.500
4 Si 0.500 0.500 0.000
5 Ge 0.000 0.000 0.500
6 Ge 0.000 0.500 0.000
7 Ge 0.500 0.000 0.000
8 Ge 0.500 0.500 0.500
9 Os 0.250 0.250 0.250
10 Os 0.250 0.250 0.750
11 Os 0.250 0.750 0.250
12 Os 0.250 0.750 0.750
13 Os 0.750 0.250 0.250
14 Os 0.750 0.250 0.750
15 Os 0.750 0.750 0.250
16 Os 0.750 0.750 0.750

## Properties
- space group = Fm-3m (225)
- size of the total moment (μB per cell) = 0.000
- D(E_F) (states/eV/f.u.) = 0.60
- raw formation energy (eV/atom) = -0.1396


Material: CaTa3Mn
Method: DFT, GGA-PBEsol
State: optimized geometry

Lattice parameters (Å, degrees): 4.640 4.640 4.640 90.00 90.00 90.00
Fractional coordinates of all 5 atoms:
1 Ca 0.000 0.000 0.000
2 Ta 0.000 0.000 0.500
3 Ta 0.000 0.500 0.000
4 Ta 0.500 0.000 0.000
5 Mn 0.500 0.500 0.500

## Properties
- space group = Pm-3m (221)
- size of the total moment (μB per cell) = 3.723
- D(E_F) (states/eV/f.u.) = 6.15
- E_form (eV/atom) = 2.70


Material: ZrOsSe2
Method: DFT, GGA-PBEsol
State: optimized geometry

Lattice parameters (Å, degrees): 3.144 3.144 24.178 90.00 90.00 120.00
Fractional coordinates of all 12 atoms:
1 Zr 0.000 0.000 0.000
2 Zr 0.333 0.667 0.667
3 Zr 0.667 0.333 0.333
4 Os 0.000 0.000 0.500
5 Os 0.333 0.667 0.167
6 Os 0.667 0.333 0.833
7 Se 0.000 0.000 0.244
8 Se 0.000 0.000 0.756
9 Se 0.333 0.667 0.423
10 Se 0.333 0.667 0.911
11 Se 0.667 0.333 0.089
12 Se 0.667 0.333 0.577

## Properties
- space group = R-3m (166)
- size of the total moment (μB per cell) = 0.003
- D(E_F) (states/eV/f.u.) = 4.62
- raw formation energy (eV/atom) = 0.0764


Material: Mg2ScW
Method: DFT, GGA-PBEsol
State: optimized geometry

Lattice parameters (Å, degrees): 3.066 4.838 10.354 90.00 90.00 90.00
Fractional coordinates of all 8 atoms:
1 Mg 0.000 0.000 0.232
2 Mg 0.000 0.000 0.768
3 Mg 0.500 0.500 0.268
4 Mg 0.500 0.500 0.732
5 Sc 0.000 0.500 0.000
6 Sc 0.500 0.000 0.500
7 W 0.000 0.500 0.500
8 W 0.500 0.000 0.000

## Properties
- space group = Immm (71)
- size of the total moment (μB per cell) = 0.000
- D(E_F) (states/eV/f.u.) = 2.79
- E_form (eV/atom) = 0.38
- excess energy over the best structure of this formula in the dataset (meV per atom) = 22


Material: Sn3PbF
Method: DFT, GGA-PBEsol
State: optimized geometry

Lattice parameters (Å, degrees): 4.994 4.994 4.994 90.00 90.00 90.00
Fractional coordinates of all 5 atoms:
1 Sn 0.000 0.000 0.500
2 Sn 0.000 0.500 0.000
3 Sn 0.500 0.000 0.000
4 Pb 0.500 0.500 0.500
5 F 0.000 0.000 0.000

## Properties
- space group = Pm-3m (221)
- size of the total moment (μB per cell) = 0.000
- D(E_F) (states/eV/f.u.) = 2.78
- raw formation energy (eV/atom) = -0.3971


Look up the size of the total moment of the tenth one. 0.003 μB per cell


Number 6 is which compound? InAu2Se


What is the formula in the first record? Y2AsSe